This record from Alexandria via LeMat-Bulk describes ZrTcTe after structural relaxation. The functional is GGA-PBE.

Lattice parameters (Å, degrees): 6.5237 6.5237 6.5237 90.00 90.00 90.00
Last column: nearest neighbours and their distance in Å.
Space group F-43m (No. 216)
Symmetry-distinct sites (fractional):
Zr: 0.0000 0.0000 0.0000 [4 per cell]  4 Tc 2.82, 4 Te 2.82
Tc: 0.2500 0.2500 0.7500 [4 per cell]  4 Zr 2.82
Te: 0.2500 0.2500 0.2500 [4 per cell]  4 Zr 2.82

M_tot (μB per formula unit): 0.00
Raw formation energy (eV/atom): 0.32
Crystal system: cubic
Energy (Ha/atom): -0.25826

---

This record from Alexandria via LeMat-Bulk describes SrCl after structural relaxation. The functional is GGA-PBE.

Lattice parameters (Å, degrees): 3.7144 3.7144 4.4806 90.00 90.00 90.00
Last column: nearest neighbours and their distance in Å.
Space group P4/mmm (No. 123)
Symmetry-distinct sites (fractional):
Sr: 0.0000 0.0000 0.0000 [1 per cell]  8 Cl 3.45, 4 Sr 3.71
Cl: 0.5000 0.5000 0.5000 [1 per cell]  8 Sr 3.45, 4 Cl 3.71

M_tot (μB per formula unit): 0.51
Raw formation energy (eV/atom): -1.28
Crystal system: tetragonal
Energy (Ha/atom): -0.11183

---

This record from Alexandria via LeMat-Bulk describes AcIn2Cu after structural relaxation. The functional is GGA-PBE.

Lattice parameters (Å, degrees): 4.5904 4.5904 5.1334 90.00 90.00 90.00
Last column: nearest neighbours and their distance in Å.
Space group P4/mmm (No. 123)
Symmetry-distinct sites (fractional):
Ac: 0.0000 0.0000 0.0000 [1 per cell]  4 Cu 3.25, 8 In 3.44
In: 0.0000 0.5000 0.5000 [2 per cell]  4 In 3.25, 4 Ac 3.44, 4 Cu 3.44
Cu: 0.5000 0.5000 0.0000 [1 per cell]  4 Ac 3.25, 8 In 3.44

M_tot (μB per formula unit): 0.00
Crystal system: tetragonal
Energy (Ha/atom): -0.12984
DFT formation energy (eV/atom): -0.11

---

This record from Alexandria via LeMat-Bulk describes Zr3TiBe after structural relaxation. The functional is GGA-PBE.

Lattice parameters (Å, degrees): 4.7368 4.7368 4.7368 90.00 90.00 90.00
Last column: nearest neighbours and their distance in Å.
Space group Pm-3m (No. 221)
Symmetry-distinct sites (fractional):
Zr: 0.0000 0.0000 0.5000 [3 per cell]  2 Be 2.37
Ti: 0.5000 0.5000 0.5000 [1 per cell]  12 Zr 3.35
Be: 0.0000 0.0000 0.0000 [1 per cell]  6 Zr 2.37

M_tot (μB per formula unit): 0.00
Crystal system: cubic
Energy (Ha/atom): -0.25649
DFT formation energy (eV/atom): 0.47

---

This record from Alexandria via LeMat-Bulk describes CsNaCa3 after structural relaxation. The functional is GGA-PBE.

Lattice parameters (Å, degrees): 6.5101 6.5101 6.5101 90.00 90.00 90.00
Last column: nearest neighbours and their distance in Å.
Space group Pm-3m (No. 221)
Symmetry-distinct sites (fractional):
Cs: 0.0000 0.0000 0.0000 [1 per cell]  12 Ca 4.60
Na: 0.5000 0.5000 0.5000 [1 per cell]  6 Ca 3.26
Ca: 0.0000 0.5000 0.5000 [3 per cell]  2 Na 3.26

M_tot (μB per formula unit): 0.00
Crystal system: cubic
Energy (Ha/atom): -0.04738
DFT formation energy (eV/atom): 0.35

---

This record from Alexandria via LeMat-Bulk describes Tb2Dy2Sb2C after structural relaxation. The functional is GGA-PBE.

Lattice parameters (Å, degrees): 4.7897 4.7897 15.8306 90.00 90.00 90.00
Last column: nearest neighbours and their distance in Å.
Space group I4/mmm (No. 139)
Symmetry-distinct sites (fractional):
Tb: 0.0000 0.0000 0.1580 [4 per cell]  1 C 2.50
Dy: 0.0000 0.5000 0.0000 [4 per cell]  2 C 2.39
Sb: 0.0000 0.0000 0.3585 [4 per cell]  5 Tb 3.17-3.40, 4 Dy 3.28
C: 0.0000 0.0000 0.0000 [2 per cell]  4 Dy 2.39, 2 Tb 2.50

M_tot (μB per formula unit): 0.00
Raw formation energy (eV/atom): -0.79
Crystal system: tetragonal
Energy (Ha/atom): -0.21758